1.
Tb5NiPb3 (GGA-PBE, relaxed); theoretical density = 9.866 g/cm3; density of states at the Fermi level = 10.20 states/eV/cell; formation enthalpy at 0 K = -0.5334 eV/atom; total energy = -89.72 eV for the cell shown
1.0
9.2299 0.0000 0.0000
-4.6149 7.9933 0.0000
0.0000 0.0000 6.7298
Tb Pb Ni
10 6 2
Direct
0.6667 0.3333 0.0000
0.3333 0.6667 0.0000
0.7610 0.7610 0.2500
0.0000 0.7610 0.7500
0.6667 0.3333 0.5000
0.0000 0.2390 0.2500
0.2390 0.2390 0.7500
0.3333 0.6667 0.5000
0.2390 0.0000 0.2500
0.7610 0.0000 0.7500
0.3989 0.0000 0.7500
0.0000 0.3989 0.7500
0.3989 0.3989 0.2500
0.6011 0.6011 0.7500
0.0000 0.6011 0.2500
0.6011 0.0000 0.2500
0.0000 0.0000 0.0000
0.0000 0.0000 0.5000


2.
BaInGaHg2 (GGA-PBE, relaxed); theoretical density = 7.525 g/cm3; excess energy over the best structure of this formula in the dataset = 0.208 eV per atom; density of states at the Fermi level = 3.69 states/eV/cell; formation enthalpy at 0 K = -0.1657 eV/atom; total energy = -9.12 eV for the cell shown
1.0
-3.1771 -4.2222 -0.4321
4.2234 -3.1985 0.2004
-0.4500 -0.2400 5.6537
Hg In Ba Ga
2 1 1 1
Direct
0.5000 0.0000 0.0000
0.0000 0.5000 0.0000
0.0000 0.0000 0.5000
0.5000 0.5000 0.5000
0.0000 0.0000 0.0000


3.
Pm6P2PtCl3 (GGA-PBE, relaxed); theoretical density = 6.624 g/cm3; density of states at the Fermi level = 6.46 states/eV/cell; total energy = -68.80 eV for the cell shown
1.0
-0.3496 3.9181 0.9964
-4.3655 -2.1768 7.0276
8.8745 -1.9071 2.3501
Pm P Cl Pt
6 2 3 1
Direct
0.3250 0.4355 0.6500
0.0067 0.2293 0.0134
0.6750 0.5645 0.3500
0.9933 0.7707 0.9866
0.3357 0.8934 0.6715
0.6643 0.1066 0.3285
0.8328 0.6648 0.6656
0.1672 0.3352 0.3344
0.8327 0.1718 0.6654
0.5000 0.5000 0.0000
0.1673 0.8282 0.3346
0.5000 0.0000 0.0000


4.
ZrCuMo4 (GGA-PBE, relaxed); theoretical density = 8.567 g/cm3; density of states at the Fermi level = 8.48 states/eV/cell; formation enthalpy at 0 K = 0.3014 eV/atom; total energy = -54.16 eV for the cell shown
1.0
-2.9041 -2.1936 3.8323
-0.7635 2.5856 4.5458
-4.7690 1.9637 1.1544
Cu Mo Zr
1 4 1
Direct
0.0000 0.0000 0.0000
0.3743 0.3743 0.8770
0.3743 0.3743 0.3743
0.3743 0.8770 0.3743
0.8770 0.3743 0.3743
0.7500 0.7500 0.7500